DFT (PBE+U) results for a relaxed structure of NaCr2Pb2O7.

```
NaCr2Pb2O7
1.0
-3.3411 4.5184 -0.6081
-5.1296 -0.5679 -2.3051
-5.8131 0.0438 5.9951
O Na Cr Pb
7 1 2 2
Cartesian
0.0000 0.0000 0.0000
-4.6632 2.5770 0.9815
-7.0923 0.3396 -0.4698
-5.8461 1.8352 3.7966
-8.9004 3.4656 2.7838
-8.5076 -0.0879 2.3030
-7.8419 3.8536 -0.1494
-7.1419 1.9972 1.5410
-9.1815 3.6479 -1.2571
-5.1024 0.3465 4.3390
-3.2292 1.1441 -0.0260
-11.0547 2.8503 3.1079
```

- Space-group type: R32 (155)
- Theoretical density: 5.10 g/cm3
- Size of the total moment: 3.00 μB per cell
- DFT total energy: -6.1748 eV per atom